A plane-wave DFT calculation with PBE-GGA was carried out for crystalline PbW3 at its relaxed geometry.

The structure in extended XYZ format:
```
4
Lattice="1.539 0.888 9.194 -1.539 0.888 9.194 0.000 -1.777 9.194" Properties=species:S:1:pos:R:3 pbc="T T T"
Pb 0.000 0.000 0.000
W 0.000 0.000 6.618
W 0.000 0.000 13.791
W 0.000 0.000 20.965
```

offset from the most stable computed form	0.115	eV/atom
space group	R-3m, No. 166
calculated volume	75.4	Å³/cell
M_tot	0.000	μB/atom